HRuW3 | PBE | relaxed

Values from the calculation:
N(E_F) (states/eV/cell): 4.176
Excess energy over the best structure of this formula in the dataset (eV per atom): 0.000

a b c (Å): 4.016 4.016 4.016
angles (deg): 90.00 90.00 90.00
Space group Pm-3m (No. 221)
Symmetry-distinct sites (fractional):
H (0.000, 0.000, 0.000) [1 per cell]
Ru (0.500, 0.500, 0.500) [1 per cell]
W (0.000, 0.000, 0.500) [3 per cell]